Entry 1:
## Ho3Fe5N12 (PBE)

Data for a geometry-optimized Ho3Fe5N12 structure.

Calculated values
Magnetic moment in μB per cell: 14.4
Space-group type: Ia-3d (230)
Fermi-level density of states in states/eV per cell: 39.3
Formation energy without anion corrections in eV/atom: -0.22

Unit cell a=10.459 b=10.459 c=10.459 alpha=109.47 beta=109.47 gamma=109.47
Fractional positions:
Ho: 0.750 0.375 0.125
Ho: 0.875 0.750 0.125
Ho: 0.375 0.750 0.625
Ho: 0.250 0.125 0.375
Ho: 0.875 0.125 0.250
Ho: 0.375 0.625 0.250
Ho: 0.625 0.375 0.750
Ho: 0.125 0.875 0.750
Ho: 0.750 0.875 0.625
Ho: 0.625 0.250 0.375
Ho: 0.125 0.250 0.875
Ho: 0.250 0.625 0.875
Fe: 0.125 0.375 0.250
Fe: 0.000 0.500 0.000
Fe: 0.000 0.000 0.000
Fe: 0.375 0.250 0.125
Fe: 0.500 0.000 0.500
Fe: 0.500 0.500 0.000
Fe: 0.125 0.750 0.375
Fe: 0.750 0.125 0.875
Fe: 0.750 0.625 0.375
Fe: 0.375 0.125 0.750
Fe: 0.625 0.875 0.250
Fe: 0.500 0.500 0.500
Fe: 0.500 0.000 0.000
Fe: 0.000 0.000 0.500
Fe: 0.250 0.375 0.625
Fe: 0.250 0.875 0.125
Fe: 0.000 0.500 0.500
Fe: 0.875 0.250 0.625
Fe: 0.625 0.750 0.875
Fe: 0.875 0.625 0.750
N: 0.699 0.112 0.013
N: 0.314 0.513 0.401
N: 0.987 0.388 0.301
N: 0.513 0.199 0.112
N: 0.587 0.699 0.686
N: 0.987 0.599 0.186
N: 0.314 0.801 0.413
N: 0.099 0.913 0.112
N: 0.599 0.987 0.686
N: 0.699 0.587 0.186
N: 0.801 0.487 0.388
N: 0.814 0.901 0.013
N: 0.112 0.699 0.513
N: 0.388 0.401 0.087
N: 0.087 0.901 0.388
N: 0.413 0.112 0.599
N: 0.087 0.186 0.199
N: 0.487 0.686 0.099
N: 0.814 0.913 0.301
N: 0.112 0.413 0.099
N: 0.388 0.987 0.801
N: 0.599 0.612 0.413
N: 0.901 0.814 0.513
N: 0.801 0.314 0.913
N: 0.401 0.388 0.587
N: 0.099 0.186 0.487
N: 0.199 0.686 0.087
N: 0.186 0.087 0.699
N: 0.612 0.013 0.199
N: 0.888 0.587 0.901
N: 0.513 0.314 0.901
N: 0.587 0.888 0.401
N: 0.913 0.814 0.801
N: 0.913 0.099 0.612
N: 0.888 0.301 0.487
N: 0.186 0.099 0.987
N: 0.612 0.599 0.913
N: 0.401 0.013 0.314
N: 0.301 0.413 0.814
N: 0.199 0.513 0.612
N: 0.901 0.087 0.888
N: 0.686 0.199 0.587
N: 0.487 0.801 0.888
N: 0.013 0.401 0.814
N: 0.413 0.301 0.314
N: 0.013 0.612 0.699
N: 0.686 0.487 0.599
N: 0.301 0.888 0.987


Entry 2:
## Ho2FeN (PBE)

Data for a geometry-optimized Ho2FeN structure.

Calculated values
Magnetic moment in μB per cell: 2.2
Space-group type: R-3m (166)
Fermi-level density of states in states/eV per cell: 3.7
Formation energy without anion corrections in eV/atom: -0.28

Unit cell a=3.316 b=3.316 c=8.405 alpha=78.62 beta=78.62 gamma=60.00
Fractional positions:
N: 0.500 0.500 0.500
Ho: 0.111 0.111 0.668
Ho: 0.889 0.889 0.332
Fe: 0.000 0.000 0.000


Entry 3:
## HoPaFeN4 (PBE)

Data for a geometry-optimized HoPaFeN4 structure.

Calculated values
Magnetic moment in μB per cell: 2.1
Space-group type: I4mm (107)
Fermi-level density of states in states/eV per cell: 3.6
Formation energy without anion corrections in eV/atom: -1.02

Unit cell a=3.698 b=3.698 c=6.525 alpha=106.46 beta=106.46 gamma=90.00
Fractional positions:
Ho: 0.641 0.641 0.281
Pa: 0.359 0.359 0.718
Fe: 0.004 0.004 0.008
N: 0.995 0.495 0.990
N: 0.495 0.995 0.990
N: 0.828 0.828 0.656
N: 0.178 0.178 0.356


Entry 4:
## PrHo2FeN4 (PBE)

Data for a geometry-optimized PrHo2FeN4 structure.

Calculated values
Magnetic moment in μB per cell: 0.0
Space-group type: Cmcm (63)
Fermi-level density of states in states/eV per cell: 7.0
Formation energy without anion corrections in eV/atom: -1.14

Unit cell a=3.407 b=5.966 c=11.493 alpha=90.00 beta=90.00 gamma=106.59
Fractional positions:
Pr: 0.109 0.219 0.750
Pr: 0.891 0.781 0.250
Ho: 0.368 0.736 0.545
Ho: 0.632 0.264 0.045
Ho: 0.632 0.264 0.455
Ho: 0.368 0.736 0.955
Fe: 0.841 0.681 0.750
Fe: 0.159 0.319 0.250
N: 0.266 0.533 0.128
N: 0.734 0.467 0.628
N: 0.734 0.467 0.872
N: 0.266 0.533 0.372
N: 0.000 0.000 0.500
N: 0.000 0.000 0.000
N: 0.413 0.827 0.750
N: 0.587 0.173 0.250


Entry 5:
## HoPu2FeN4 (PBE)

Data for a geometry-optimized HoPu2FeN4 structure.

Calculated values
Magnetic moment in μB per cell: 10.0
Space-group type: Cmcm (63)
Fermi-level density of states in states/eV per cell: 18.7
Formation energy without anion corrections in eV/atom: -1.05

Unit cell a=3.371 b=5.862 c=11.377 alpha=90.00 beta=90.00 gamma=106.71
Fractional positions:
Ho: 0.106 0.212 0.750
Ho: 0.894 0.788 0.250
Pu: 0.369 0.739 0.557
Pu: 0.631 0.261 0.057
Pu: 0.631 0.261 0.443
Pu: 0.369 0.739 0.943
Fe: 0.842 0.683 0.750
Fe: 0.158 0.317 0.250
N: 0.270 0.540 0.117
N: 0.730 0.460 0.617
N: 0.730 0.460 0.883
N: 0.270 0.540 0.383
N: 0.000 0.000 0.500
N: 0.000 0.000 0.000
N: 0.454 0.909 0.750
N: 0.546 0.091 0.250


Entry 6:
## SmHo2FeN4 (PBE)

Data for a geometry-optimized SmHo2FeN4 structure.

Calculated values
Magnetic moment in μB per cell: 0.5
Space-group type: Cmcm (63)
Fermi-level density of states in states/eV per cell: 6.6
Formation energy without anion corrections in eV/atom: -1.14

Unit cell a=3.377 b=5.920 c=11.477 alpha=90.00 beta=90.00 gamma=106.57
Fractional positions:
Sm: 0.117 0.233 0.750
Sm: 0.883 0.767 0.250
Ho: 0.368 0.736 0.545
Ho: 0.632 0.264 0.045
Ho: 0.632 0.264 0.455
Ho: 0.368 0.736 0.955
Fe: 0.847 0.693 0.750
Fe: 0.153 0.307 0.250
N: 0.268 0.535 0.131
N: 0.732 0.465 0.631
N: 0.732 0.465 0.869
N: 0.268 0.535 0.369
N: 0.000 0.000 0.500
N: 0.000 0.000 0.000
N: 0.419 0.838 0.750
N: 0.581 0.162 0.250